{"formula": "Sr2MoPt", "functional": "PBE", "state": "relaxed", "lattice": [[-1.904, -2.557, 5.165], [0.359, -6.052, 0.281], [3.737, 4.536, -1.516]], "species": ["Pt", "Sr", "Mo", "Sr"], "fractional_positions": [[0.750, 0.250, 0.500], [0.250, 0.750, 0.500], [0.500, 0.500, 0.000], [0.000, 0.000, 0.000]], "e_above_lowest_polymorph_mev_per_atom": 402.6, "crystal_system": "tetragonal", "formation_enthalpy_0k_mev_per_atom": 535.3}